# 1
Here is MnV3P after structural relaxation from Alexandria via LeMat-Bulk. Energies are from PBE-GGA.

Cell: 4.261 4.261 4.261 Å, 90.00 90.00 90.00°
Sites, in units of the cell vectors:
Mn 0.000 0.000 0.000
V 0.000 0.000 0.500
V 0.000 0.500 0.000
V 0.500 0.000 0.000
P 0.500 0.500 0.500

Computed properties:
Formation energy from the elements ... 740 meV/atom
Volume ... 15.5 A^3/atom
Energy relative to the lowest polymorph listed for this composition ... 429 meV per atom

# 2
Here is Te2OsAu after structural relaxation from Alexandria via LeMat-Bulk. Energies are from PBE-GGA.

Cell: 3.111 3.111 10.532 Å, 90.00 90.00 117.25°
Sites, in units of the cell vectors:
Te 0.000 0.000 0.000
Te 0.500 0.500 0.346
Os 0.000 0.000 0.542
Au 0.500 0.500 0.755

Computed properties:
E_form (uncorrected) ... 0.670 eV/atom
Volume ... 22.7 A^3/atom
Energy relative to the lowest polymorph listed for this composition ... 493 meV per atom

# 3
Here is Pm3NiSb after structural relaxation from Alexandria via LeMat-Bulk. Energies are from PBE-GGA.

Cell: 5.292 5.292 5.292 Å, 90.00 90.00 90.00°
Sites, in units of the cell vectors:
Pm 0.000 0.000 0.500
Pm 0.000 0.500 0.000
Pm 0.500 0.000 0.000
Ni 0.000 0.000 0.000
Sb 0.500 0.500 0.500

Computed properties:
E_form (uncorrected) ... -0.390 eV/atom
Volume ... 29.6 A^3/atom

# 4
Here is LaEuTlCd after structural relaxation from Alexandria via LeMat-Bulk. Energies are from PBE-GGA.

Cell: 5.602 5.602 5.602 Å, 60.00 60.00 60.00°
Sites, in units of the cell vectors:
La 0.000 0.000 0.000
Eu 0.500 0.500 0.500
Tl 0.250 0.250 0.250
Cd 0.750 0.750 0.750

Computed properties:
Formation energy from the elements ... -398 meV/atom
Volume ... 31.1 A^3/atom

# 5
Here is Tm2AgHg after structural relaxation from Alexandria via LeMat-Bulk. Energies are from PBE-GGA.

Cell: 5.137 5.137 3.632 Å, 90.00 90.00 90.00°
Sites, in units of the cell vectors:
Tm 0.000 0.500 0.000
Tm 0.500 0.000 0.000
Ag 0.000 0.000 0.500
Hg 0.500 0.500 0.500

Computed properties:
Formation energy from the elements ... -413 meV/atom
Volume ... 24.0 A^3/atom
Energy relative to the lowest polymorph listed for this composition ... 0 meV per atom

# 6
Here is ZrScB after structural relaxation from Alexandria via LeMat-Bulk. Energies are from PBE-GGA.

Cell: 6.560 6.560 5.079 Å, 100.87 100.87 28.47°
Sites, in units of the cell vectors:
Zr 0.000 0.000 0.000
Zr 0.574 0.574 0.536
Sc 0.260 0.260 0.882
Sc 0.838 0.838 0.411
B 0.182 0.182 0.295
B 0.654 0.654 0.118

Computed properties:
Formation energy from the elements ... -364 meV/atom
Volume ... 17.0 A^3/atom
Energy relative to the lowest polymorph listed for this composition ... 18 meV per atom

# 7
Here is NaHg2BiH after structural relaxation from Alexandria via LeMat-Bulk. Energies are from PBE-GGA.

Cell: 5.038 5.038 4.292 Å, 90.00 90.00 90.00°
Sites, in units of the cell vectors:
Na 0.000 0.000 0.000
Hg 0.000 0.500 0.500
Hg 0.500 0.000 0.500
Bi 0.500 0.500 0.000
H 0.000 0.000 0.500

Computed properties:
Total DFT energy (no corrections) ... -1.75 eV/atom
Volume ... 21.8 A^3/atom

# 8
Here is Ga2CuAu4 after structural relaxation from Alexandria via LeMat-Bulk. Energies are from PBE-GGA.

Cell: 6.347 12.272 3.093 Å, 90.00 90.00 90.00°
Sites, in units of the cell vectors:
Ga 0.229 0.118 0.000
Ga 0.271 0.618 0.000
Ga 0.729 0.382 0.000
Ga 0.771 0.882 0.000
Cu 0.000 0.500 0.500
Cu 0.500 0.000 0.500
Au 0.006 0.272 0.500
Au 0.188 0.908 0.000
Au 0.312 0.408 0.000
Au 0.494 0.772 0.500
Au 0.506 0.228 0.500
Au 0.688 0.592 0.000
Au 0.812 0.092 0.000
Au 0.994 0.728 0.500

Computed properties:
Formation energy from the elements ... -114 meV/atom
Volume ... 17.2 A^3/atom
Energy relative to the lowest polymorph listed for this composition ... 0 meV per atom

# 9
Here is TbNd2Pd4 after structural relaxation from Alexandria via LeMat-Bulk. Energies are from PBE-GGA.

Cell: 8.294 8.294 8.294 Å, 144.50 144.50 51.09°
Sites, in units of the cell vectors:
Tb 0.000 0.000 0.000
Nd 0.364 0.364 0.000
Nd 0.636 0.636 0.000
Pd 0.000 0.500 0.500
Pd 0.181 0.181 0.000
Pd 0.500 0.000 0.500
Pd 0.819 0.819 0.000

Computed properties:
Formation energy from the elements ... -227 meV/atom
Volume ... 27.3 A^3/atom

# 10
Here is NiPd3 after structural relaxation from Alexandria via LeMat-Bulk. Energies are from PBE-GGA.

Cell: 5.250 5.250 5.250 Å, 149.39 62.30 127.18°
Sites, in units of the cell vectors:
Ni 0.000 0.000 0.000
Pd 0.372 0.633 0.739
Pd 0.511 0.011 0.500
Pd 0.894 0.633 0.261

Computed properties:
Formation energy from the elements ... 59 meV/atom
Volume ... 14.5 A^3/atom

# 11
Here is LaMn2Br after structural relaxation from Alexandria via LeMat-Bulk. Energies are from PBE-GGA.

Cell: 3.437 3.437 8.980 Å, 90.00 90.00 90.00°
Sites, in units of the cell vectors:
La 0.000 0.000 0.000
Mn 0.000 0.000 0.363
Mn 0.500 0.500 0.261
Br 0.500 0.500 0.783

Computed properties:
E_form (uncorrected) ... -0.038 eV/atom
Volume ... 26.5 A^3/atom
Energy relative to the lowest polymorph listed for this composition ... 38 meV per atom

# 12
Here is CaMgGa2 after structural relaxation from Alexandria via LeMat-Bulk. Energies are from PBE-GGA.

Cell: 7.339 4.373 11.733 Å, 90.00 90.00 90.00°
Sites, in units of the cell vectors:
Ca 0.145 0.250 0.145
Ca 0.355 0.750 0.645
Ca 0.645 0.250 0.355
Ca 0.855 0.750 0.855
Mg 0.138 0.250 0.447
Mg 0.362 0.750 0.947
Mg 0.638 0.250 0.053
Mg 0.862 0.750 0.553
Ga 0.023 0.250 0.671
Ga 0.175 0.250 0.862
Ga 0.325 0.750 0.362
Ga 0.477 0.750 0.171
Ga 0.523 0.250 0.829
Ga 0.675 0.250 0.638
Ga 0.825 0.750 0.138
Ga 0.977 0.750 0.329

Computed properties:
Formation energy from the elements ... -342 meV/atom
Volume ... 23.5 A^3/atom

Question: Number 11 is which compound?
Answer: LaMn2Br

Question: Which of these has the highest volume?
Answer: LaEuTlCd